Compound: NdCrO4F
Source: Alexandria
Functional: PBE+U
Structure: optimized geometry

Calculated values
crystal system = monoclinic
energy = -7.20 eV/atom
SG = C2/m, No. 12

abc: 6.0818 6.0818 6.8425
angles: 77.34 77.34 75.78
Element x y z (fractional)
1 Nd 0.2065 0.2065 0.8910
2 Nd 0.7935 0.7935 0.1090
3 Cr 0.6500 0.6500 0.7250
4 Cr 0.3500 0.3500 0.2750
5 O 0.2622 0.2622 0.5171
6 O 0.7378 0.7378 0.4829
7 O 0.1259 0.4796 0.1525
8 O 0.5252 0.5252 0.2465
9 O 0.5204 0.8741 0.8475
10 O 0.4796 0.1259 0.1525
11 O 0.4748 0.4748 0.7535
12 O 0.8741 0.5204 0.8475
13 F 0.0148 0.0148 0.1805
14 F 0.9852 0.9852 0.8195